1.
The following is a DFT calculation (PBE) of a relaxed LiHoNiPb crystal. Values from VASP.

Calculated values
- symmetry = F-43m, No. 216
- DFT formation energy (eV/atom) = -0.401

Cell and atoms, written as Quantum ESPRESSO input:
```
&SYSTEM
  ibrav = 0, nat = 4, ntyp = 4
/
ATOMIC_SPECIES
Li 6.94 Li.upf
Pb 207.20 Pb.upf
Ni 58.69 Ni.upf
Ho 164.93 Ho.upf
ATOMIC_POSITIONS angstrom
Li -4.7669 0.9067 7.1193
Pb -3.1779 0.6045 4.7462
Ni -1.5890 0.3022 2.3731
Ho 0.0000 0.0000 0.0000
CELL_PARAMETERS angstrom
-1.9952 3.0953 2.9039
-4.1307 -0.9795 1.9929
-0.2300 -0.9068 4.5955
```

2.
The following is a DFT calculation (PBE) of a relaxed RbCaTiCl6 crystal. Values from VASP.

Calculated values
- symmetry = P-31c, No. 163
- raw formation energy (eV/atom) = -1.951

Cell and atoms, written as Quantum ESPRESSO input:
```
&SYSTEM
  ibrav = 0, nat = 18, ntyp = 4
/
ATOMIC_SPECIES
Rb 85.47 Rb.upf
Cl 35.45 Cl.upf
Ti 47.87 Ti.upf
Ca 40.08 Ca.upf
ATOMIC_POSITIONS angstrom
Rb 4.3512 -5.7053 -0.0732
Rb 0.0000 0.0000 0.0000
Cl -1.0596 -3.5798 4.9451
Cl 4.6558 -11.7553 -2.7343
Cl 0.8189 -2.1153 2.4612
Cl -1.8436 -4.1354 1.6406
Ti 3.4211 -10.9178 -0.7902
Cl 1.1977 -5.4160 1.0105
Cl 2.7773 -13.2198 -0.2504
Ca -0.9301 -5.2125 -0.7170
Cl -0.3933 -6.6651 3.7946
Cl 1.2659 -10.7427 -1.9433
Cl 5.4398 -11.1998 0.5702
Cl 3.9895 -8.6701 -1.5838
Cl 2.3303 -4.5925 4.1541
Ca 4.5263 -10.1226 2.9278
Ti 0.1751 -4.4174 3.0010
Cl 2.3985 -9.9192 1.2003
CELL_PARAMETERS angstrom
-0.8954 -0.7695 6.7557
-4.2109 -3.1551 -4.3985
8.7025 -11.4105 -0.1464
```

3.
The following is a DFT calculation (PBE) of a relaxed Co2Cu2Sb crystal. Values from VASP.

Calculated values
- symmetry = P4/mbm, No. 127
- raw formation energy (eV/atom) = 0.262

Cell and atoms, written as Quantum ESPRESSO input:
```
&SYSTEM
  ibrav = 0, nat = 10, ntyp = 3
/
ATOMIC_SPECIES
Co 58.93 Co.upf
Cu 63.55 Cu.upf
Sb 121.76 Sb.upf
ATOMIC_POSITIONS angstrom
Co -3.0811 -5.8485 1.1801
Cu -0.5689 -2.6221 3.7307
Cu -4.4837 -3.7159 1.3358
Co -2.8267 -2.8162 -0.4840
Co 0.0467 -2.0726 1.3103
Sb -1.5172 -3.9605 1.2452
Sb 0.0000 0.0000 0.0000
Cu -2.6602 -5.2209 3.6893
Co -0.2077 -5.1049 2.9744
Cu -2.3924 -1.1171 1.3772
CELL_PARAMETERS angstrom
-4.8660 -3.5767 -1.6143
1.8316 -4.3443 4.1047
-2.0182 1.5831 2.5761
```

4.
The following is a DFT calculation (PBE) of a relaxed RbNiBr6 crystal. Values from VASP.

Calculated values
- symmetry = R-3m, No. 166
- raw formation energy (eV/atom) = -0.450

Cell and atoms, written as Quantum ESPRESSO input:
```
&SYSTEM
  ibrav = 0, nat = 8, ntyp = 3
/
ATOMIC_SPECIES
Br 79.90 Br.upf
Rb 85.47 Rb.upf
Ni 58.69 Ni.upf
ATOMIC_POSITIONS angstrom
Br 3.2128 1.0566 1.1951
Rb 0.0000 0.0000 0.0000
Br 0.6993 3.3090 1.1951
Br 3.8054 1.7179 4.4910
Br 0.6993 0.7804 3.4305
Br 1.2920 3.9703 4.4910
Ni 2.2524 2.5134 2.8430
Br 3.8054 4.2465 2.2556
CELL_PARAMETERS angstrom
6.4342 -0.2636 -0.2981
-0.9647 6.3669 -0.2981
-0.9647 -1.0765 6.2823
```

One value per record, in order, for spin magnetization: 0.00 2.00 4.20 0.01 Bohr magnetons per cell.
One value per record, in order, for raw total energy: -17.6 -39.5 -25.2 -20.4 eV per formula unit.